1.
HgOsAu2 | GGA-PBEsol | optimized geometry

For the total energy, the calculation gives -37.1 eV for the cell shown. As for the density of states at the Fermi level: 1.90 states/eV/f.u.

The space group is Cmmm (No. 65) and the conventional cell measures 5.742, 8.531 and 2.737 Å, with angles of 90.00, 90.00 and 90.00 degrees. The distinct sites, in fractional coordinates, are Hg at (0.000, 0.000, 0.000), Os at (0.000, 0.500, 0.000) and Au at (0.250, 0.250, 0.500).


2.
HgOs2Au | GGA-PBEsol | optimized geometry

For the total energy, the calculation gives -27.6 eV for the cell shown. As for the density of states at the Fermi level: 2.45 states/eV/f.u.

The space group is P4mm (No. 99) and the conventional cell measures 2.822, 2.822 and 8.147 Å, with angles of 90.00, 90.00 and 90.00 degrees. The distinct sites, in fractional coordinates, are Hg at (0.000, 0.000, 0.000), Os at (0.000, 0.000, 0.465), Os at (0.500, 0.500, 0.268) and Au at (0.500, 0.500, 0.720).


3.
HgP2Au | GGA-PBEsol | optimized geometry

For the total energy, the calculation gives -31.4 eV for the cell shown. As for the density of states at the Fermi level: 1.29 states/eV/f.u.

The space group is Cm (No. 8) and the conventional cell measures 5.824, 3.370 and 7.437 Å, with angles of 90.00, 104.84 and 90.00 degrees. The distinct sites, in fractional coordinates, are Hg at (0.000, 0.000, 0.000), P at (0.010, 0.500, 0.531), P at (0.234, 0.000, 0.710) and Au at (0.263, 0.500, 0.293).


4.
HgP2Au | GGA-PBEsol | optimized geometry

For the total energy, the calculation gives -14.1 eV for the cell shown. As for the density of states at the Fermi level: 1.96 states/eV/f.u.

The space group is P4/mmm (No. 123) and the conventional cell measures 2.752, 2.752 and 9.673 Å, with angles of 90.00, 90.00 and 90.00 degrees. The distinct sites, in fractional coordinates, are Hg at (0.000, 0.000, 0.000), P at (0.500, 0.500, 0.287) and Au at (0.000, 0.000, 0.500).